[1]
Here is crystalline SrTa2Tc at its relaxed geometry from Alexandria. Energies are from PBE-GGA.

Cell: 3.1256 4.2357 7.1493 Å, 90.00 99.03 90.00°
Last column: nearest neighbours and their distance in Å.
Space group Pm (No. 6)
Unique sites:
Sr1 0.0000 0.0000 0.0000 [1 per cell]  2 Sr 3.13, 2 Tc 3.30, 1 Ta 3.45
Ta1 0.1444 0.0000 0.5307 [1 per cell]  2 Tc 2.58, 2 Ta 2.84
Ta2 0.6286 0.5000 0.3506 [1 per cell]  1 Tc 2.40
Tc1 0.5344 0.5000 0.6777 [1 per cell]  3 Ta 2.40-2.58

## Properties
The value obtained for the magnetization is 0.0 μB/f.u. The value obtained for the polymorph energy (0 for the lowest one) is 15 meV per atom. The energy of formation from the pure elements is 0.46 eV per atom. The uncorrected energy is -33.9 eV/f.u. For the density, the calculation gives 9.73 Mg/m³.

=====

[2]
Here is crystalline Zr2SiTcB at its relaxed geometry from Alexandria. Energies are from PBE-GGA.

Cell: 5.0208 5.0208 3.9850 Å, 90.00 90.00 90.00°
Last column: nearest neighbours and their distance in Å.
Space group P4/mmm (No. 123)
Unique sites:
Zr1 0.0000 0.5000 0.0000 [2 per cell]  2 Tc 2.51
Si1 0.0000 0.0000 0.5000 [1 per cell]  8 Zr 3.21, 4 B 3.55
Tc1 0.5000 0.5000 0.0000 [1 per cell]  2 B 1.99
B1 0.5000 0.5000 0.5000 [1 per cell]  2 Tc 1.99

## Properties
The value obtained for the magnetization is 0.0 μB/f.u. The value obtained for the polymorph energy (0 for the lowest one) is 863 meV per atom. The calculation puts the formation energy from raw total energies at 603 meV per atom. The uncorrected energy is -36.5 eV/f.u. For the density, the calculation gives 5.28 Mg/m³.

=====

[3]
Here is crystalline K4AuICl2 at its relaxed geometry from Alexandria. Energies are from PBE-GGA.

Cell: 8.1476 4.6912 8.2887 Å, 90.00 109.06 90.00°
Last column: nearest neighbours and their distance in Å.
Space group P2/m (No. 10)
Unique sites:
K1 0.2368 0.0000 0.2248 [2 per cell]  3 Cl 3.22-3.27, 1 Au 3.43, 2 I 3.48
K2 0.2532 0.5000 0.7723 [2 per cell]  3 Cl 3.22-3.26, 2 Au 3.44, 1 I 3.48
Au1 0.0000 0.0000 0.5000 [1 per cell]  6 K 3.43-3.44
I1 0.5000 0.5000 0.5000 [1 per cell]  6 K 3.48
Cl1 0.0000 0.5000 0.0000 [1 per cell]  6 K 3.22
Cl2 0.5000 0.0000 0.0000 [1 per cell]  6 K 3.26-3.27

## Properties
The value obtained for the magnetization is 0.0 μB/f.u. The calculation puts the formation energy from raw total energies at -1398 meV per atom. The uncorrected energy is -24.1 eV/f.u. For the density, the calculation gives 3.06 Mg/m³.

=====

[4]
Here is crystalline Tl2Zn2Ag at its relaxed geometry from Alexandria. Energies are from PBE-GGA.

Cell: 8.0565 8.0565 3.5904 Å, 90.00 90.00 90.00°
Last column: nearest neighbours and their distance in Å.
Space group P4/mbm (No. 127)
Unique sites:
Tl1 0.1814 0.3186 0.0000 [4 per cell]  6 Zn 2.92-3.04, 2 Ag 2.95
Zn1 0.1170 0.6170 0.5000 [4 per cell]  1 Zn 2.67, 2 Tl 2.92
Ag1 0.0000 0.0000 0.0000 [2 per cell]  4 Tl 2.95

## Properties
The value obtained for the magnetization is 0.0 μB/f.u. The value obtained for the polymorph energy (0 for the lowest one) is 132 meV per atom. The energy of formation from the pure elements is 0.27 eV per atom. The uncorrected energy is -8.8 eV/f.u. For the density, the calculation gives 9.23 Mg/m³.

=====

[5]
Here is crystalline TbSc2Al9 at its relaxed geometry from Alexandria. Energies are from PBE-GGA.

Cell: 4.1625 4.1625 12.4601 Å, 90.00 90.00 90.00°
Last column: nearest neighbours and their distance in Å.
Space group P4/mmm (No. 123)
Unique sites:
Tb1 0.0000 0.0000 0.0000 [1 per cell]  12 Al 2.94-3.01
Sc1 0.0000 0.0000 0.3371 [2 per cell]  12 Al 2.90-2.94
Al1 0.0000 0.5000 0.1746 [4 per cell]  8 Al 2.89-3.01, 2 Sc 2.90, 2 Tb 3.01
Al2 0.0000 0.5000 0.5000 [2 per cell]  4 Sc 2.91, 8 Al 2.92-2.94
Al3 0.5000 0.5000 0.0000 [1 per cell]  4 Tb 2.94, 8 Al 3.01
Al4 0.5000 0.5000 0.3360 [2 per cell]  8 Al 2.89-2.92, 4 Sc 2.94

## Properties
The value obtained for the magnetization is 0.0 μB/f.u. The value obtained for the polymorph energy (0 for the lowest one) is 0 meV per atom. The energy of formation from the pure elements is -0.44 eV per atom. The uncorrected energy is -56.2 eV/f.u. For the density, the calculation gives 3.78 Mg/m³.

=====

[6]
Here is crystalline GdCuPt at its relaxed geometry from Alexandria. Energies are from PBE-GGA.

Cell: 4.3621 4.3621 3.6324 Å, 90.00 90.00 120.00°
Last column: nearest neighbours and their distance in Å.
Space group P-6m2 (No. 187)
Unique sites:
Gd1 0.0000 0.0000 0.0000 [1 per cell]  6 Pt 3.11, 6 Cu 3.11
Cu1 0.3333 0.6667 0.5000 [1 per cell]  3 Pt 2.52
Pt1 0.6667 0.3333 0.5000 [1 per cell]  3 Cu 2.52

## Properties
The value obtained for the magnetization is 7.2 μB/f.u. The value obtained for the polymorph energy (0 for the lowest one) is 0 meV per atom. The energy of formation from the pure elements is -0.75 eV per atom. The uncorrected energy is -26.5 eV/f.u. For the density, the calculation gives 11.54 Mg/m³.

=====

[7]
Here is crystalline Rb3Hg4Bi at its relaxed geometry from Alexandria. Energies are from PBE-GGA.

Cell: 5.7496 7.8306 16.2192 Å, 90.00 90.00 90.00°
Last column: nearest neighbours and their distance in Å.
Space group Immm (No. 71)
Unique sites:
Rb1 0.0000 0.0000 0.0000 [2 per cell]  8 Hg 3.81
Rb2 0.0000 0.5000 0.1679 [4 per cell]  6 Hg 3.73-3.82, 2 Bi 3.96
Hg1 0.0000 0.3066 0.3779 [8 per cell]  1 Hg 3.03, 1 Bi 3.11
Bi1 0.0000 0.0000 0.5000 [2 per cell]  4 Hg 3.11

## Properties
The value obtained for the magnetization is 0.0 μB/f.u. The energy of formation from the pure elements is -0.20 eV per atom. The uncorrected energy is -9.6 eV/f.u. For the density, the calculation gives 5.77 Mg/m³.

=====

[8]
Here is crystalline Ba2Sn3Ge2 at its relaxed geometry from Alexandria. Energies are from PBE-GGA.

Cell: 13.1465 4.4493 7.6760 Å, 90.00 90.13 90.00°
Last column: nearest neighbours and their distance in Å.
Space group C2/m (No. 12)
Unique sites:
Ba1 0.1463 0.0000 0.2177 [4 per cell]  5 Ge 3.48-3.80, 6 Sn 3.66-3.78
Sn1 0.0000 0.5000 0.5000 [2 per cell]  2 Ge 3.16, 4 Sn 3.26
Sn2 0.1376 0.0000 0.7036 [4 per cell]  2 Ge 2.79
Ge1 0.0724 0.5000 0.8929 [4 per cell]  1 Ge 2.52, 2 Sn 2.79

## Properties
The value obtained for the magnetization is 0.0 μB/f.u. The energy of formation from the pure elements is -0.45 eV per atom. The uncorrected energy is -28.2 eV/f.u. For the density, the calculation gives 5.74 Mg/m³.

=====

[9]
Here is crystalline Hf6AlSn at its relaxed geometry from Alexandria. Energies are from PBE-GGA.

Cell: 4.3403 4.3403 8.9256 Å, 90.00 90.00 90.00°
Last column: nearest neighbours and their distance in Å.
Space group P4/mmm (No. 123)
Unique sites:
Hf1 0.0000 0.0000 0.0000 [1 per cell]  8 Hf 3.05, 4 Al 3.07
Hf2 0.0000 0.0000 0.5000 [1 per cell]  4 Sn 3.07, 8 Hf 3.17
Hf3 0.0000 0.5000 0.2404 [4 per cell]  8 Hf 3.05-3.17, 2 Al 3.05, 2 Sn 3.17
Al1 0.5000 0.5000 0.0000 [1 per cell]  12 Hf 3.05-3.07
Sn1 0.5000 0.5000 0.5000 [1 per cell]  12 Hf 3.07-3.17

## Properties
The value obtained for the magnetization is 0.0 μB/f.u. The value obtained for the polymorph energy (0 for the lowest one) is 0 meV per atom. The energy of formation from the pure elements is -0.23 eV per atom. The uncorrected energy is -69.3 eV/f.u. For the density, the calculation gives 12.02 Mg/m³.

=====

[10]
Here is crystalline Sc8GaSe6 at its relaxed geometry from Alexandria. Energies are from PBE-GGA.

Cell: 10.1241 10.1241 3.7217 Å, 90.00 90.00 120.00°
Last column: nearest neighbours and their distance in Å.
Space group P-3 (No. 147)
Unique sites:
Sc1 0.0229 0.2837 0.2502 [6 per cell]  3 Se 2.64-2.73, 1 Ga 2.92
Sc2 0.3333 0.6667 0.7503 [2 per cell]  6 Se 2.74-2.75
Ga1 0.0000 0.0000 0.0000 [1 per cell]  6 Sc 2.92
Se1 0.1342 0.6673 0.2471 [6 per cell]  5 Sc 2.64-2.75

## Properties
The value obtained for the magnetization is 0.0 μB/f.u. The calculation puts the formation energy from raw total energies at -1171 meV per atom. The uncorrected energy is -92.2 eV/f.u. For the density, the calculation gives 4.54 Mg/m³.

=====

[11]
Here is crystalline Co2HgBi2 at its relaxed geometry from Alexandria. Energies are from PBE-GGA.

Cell: 7.1437 7.1437 3.9460 Å, 90.00 90.00 90.00°
Last column: nearest neighbours and their distance in Å.
Space group P4/mbm (No. 127)
Unique sites:
Co1 0.1227 0.3773 0.0000 [4 per cell]  1 Co 2.48
Hg1 0.0000 0.0000 0.0000 [2 per cell]  4 Co 2.83
Bi1 0.1657 0.6657 0.5000 [4 per cell]  6 Co 2.87-2.91

## Properties
The value obtained for the magnetization is 2.3 μB/f.u. The value obtained for the polymorph energy (0 for the lowest one) is 145 meV per atom. The energy of formation from the pure elements is 0.37 eV per atom. The uncorrected energy is -20.4 eV/f.u. For the density, the calculation gives 12.14 Mg/m³.

=====

[12]
Here is crystalline YPPt6 at its relaxed geometry from Alexandria. Energies are from PBE-GGA.

Cell: 5.5231 5.5231 17.6529 Å, 90.00 90.00 120.00°
Last column: nearest neighbours and their distance in Å.
Space group R-3m (No. 166, hexagonal axes)
Unique sites:
Y1 0.0000 0.0000 0.0000 [3 per cell]  12 Pt 3.08
P1 0.0000 0.0000 0.5000 [3 per cell]  6 Pt 2.28
Pt1 0.0103 0.5051 0.9225 [18 per cell]  1 P 2.28

## Properties
The value obtained for the magnetization is 0.0 μB/f.u. The energy of formation from the pure elements is -0.55 eV per atom. The uncorrected energy is -52.5 eV/f.u. For the density, the calculation gives 13.78 Mg/m³.

=====

[13]
Here is crystalline LiLa4Ho at its relaxed geometry from Alexandria. Energies are from PBE-GGA.

Cell: 3.7187 3.7187 14.4763 Å, 90.00 90.00 90.00°
Last column: nearest neighbours and their distance in Å.
Space group P4/mmm (No. 123)
Unique sites:
Li1 0.0000 0.0000 0.0000 [1 per cell]  8 La 3.44, 4 Li 3.72
La1 0.0000 0.0000 0.3273 [2 per cell]  4 Ho 3.63, 8 La 3.64-3.72
La2 0.5000 0.5000 0.1534 [2 per cell]  4 Li 3.44, 8 La 3.64-3.72
Ho1 0.5000 0.5000 0.5000 [1 per cell]  8 La 3.63, 4 Ho 3.72

## Properties
The value obtained for the magnetization is 0.0 μB/f.u. The energy of formation from the pure elements is 0.04 eV per atom. The uncorrected energy is -25.9 eV/f.u. For the density, the calculation gives 6.03 Mg/m³.